A plane-wave DFT calculation with PBE-GGA was carried out for a relaxed K2BrF8 crystal.

Cell and atoms, written as POSCAR:
```
K2BrF8
1.0
8.1566 0.0000 0.0000
-4.0783 5.3646 -1.4174
0.0000 -0.7387 4.9790
K Br F
2 1 8
direct
0.6685 0.3369 0.3041 K
0.3315 0.6631 0.6959 K
0.0000 0.0000 0.0000 Br
0.9479 0.2240 0.2453 F
0.2761 0.2240 0.2453 F
0.0521 0.7760 0.7547 F
0.4296 0.8591 0.2974 F
0.7239 0.7760 0.7547 F
0.8941 0.7883 0.2138 F
0.1059 0.2117 0.7862 F
0.5704 0.1409 0.7026 F
```

Results
The calculated total energy comes out at -3.319 eV per atom. The uncorrected formation energy is -1.6060 eV/atom. The calculated volume is 209.3 Å³ per cell. As for the crystal system: monoclinic. Its symmetry is No. 12. The mass density is 2.46 g/cm3. As for the spin magnetization: 1.00 μB per formula unit.